# CaRe2Si

Crystalline CaRe2Si at its relaxed geometry (PBE-GGA, the Alexandria database).

- E_form (uncorrected) (eV/atom) = 0.418
- volume (Å³/f.u.) = 66.07
- DOS at the Fermi energy (states/eV/f.u.) = 3.2
- SG = Cmmm (65)

a = 2.832 Å, b = 2.832 Å, c = 8.798 Å
α = 90.00°, β = 90.00°, γ = 110.59°
Fractional coordinates of all 4 atoms:
Ca: 0.500 0.500 0.750
Re: 0.000 0.000 0.040
Re: 0.000 0.000 0.460
Si: 0.500 0.500 0.250